1.
## K2NiOs (PBE)

Data for crystalline K2NiOs at its relaxed geometry.

Lattice parameters (Å, degrees): 11.206 11.206 11.206 14.52 14.52 14.52
Atoms (fractional coordinates):
K 0.247 0.247 0.247
K 0.753 0.753 0.753
Ni 0.500 0.500 0.500
Os 0.000 0.000 0.000

Values from the calculation:
V	77.0	Å³ per cell
energy relative to the elements	1.17	eV/atom
symmetry	R-3m, No. 166
distance to the lowest polymorph of the same formula	477	meV/atom
theoretical density	7.05	Mg/m³
E	-3.63	eV/atom
N(E_F)	2.68	states/eV per cell

***

2.
## Ca3MoPd (PBE)

Data for crystalline Ca3MoPd at its relaxed geometry.

Lattice parameters (Å, degrees): 5.295 5.295 5.295 90.00 90.00 90.00
Atoms (fractional coordinates):
Ca 0.000 0.000 0.500
Ca 0.000 0.500 0.000
Ca 0.500 0.000 0.000
Mo 0.000 0.000 0.000
Pd 0.500 0.500 0.500

Values from the calculation:
V	148.5	Å³ per cell
energy relative to the elements	0.89	eV/atom
symmetry	Pm-3m, No. 221
distance to the lowest polymorph of the same formula	398	meV/atom
theoretical density	3.61	Mg/m³
E	-3.52	eV/atom
N(E_F)	2.99	states/eV per cell

***

3.
## PuScHgSb (PBE)

Data for crystalline PuScHgSb at its relaxed geometry.

Lattice parameters (Å, degrees): 5.192 5.192 5.192 60.00 60.00 60.00
Atoms (fractional coordinates):
Pu 0.000 0.000 0.000
Sc 0.500 0.500 0.500
Hg 0.250 0.250 0.250
Sb 0.750 0.750 0.750

Values from the calculation:
V	99.0	Å³ per cell
symmetry	F-43m, No. 216
theoretical density	10.25	Mg/m³
E	-6.69	eV/atom
ΔE_f (raw)	-423	meV per atom
N(E_F)	11.93	states/eV per cell

***

4.
## ScTlCo2Se (PBE)

Data for crystalline ScTlCo2Se at its relaxed geometry.

Lattice parameters (Å, degrees): 4.819 4.819 5.090 90.00 90.00 90.00
Atoms (fractional coordinates):
Sc 0.000 0.000 0.000
Tl 0.500 0.500 0.500
Co 0.000 0.500 0.000
Co 0.500 0.000 0.000
Se 0.000 0.000 0.500

Values from the calculation:
V	118.2	Å³ per cell
symmetry	P4/mmm, No. 123
theoretical density	6.27	Mg/m³
E	-4.57	eV/atom
ΔE_f (raw)	705	meV per atom
N(E_F)	8.00	states/eV per cell

***

5.
## LiAc2NpTe5 (PBE)

Data for crystalline LiAc2NpTe5 at its relaxed geometry.

Lattice parameters (Å, degrees): 9.922 9.922 13.531 90.00 90.00 153.19
Atoms (fractional coordinates):
Li 0.059 0.941 0.500
Li 0.941 0.059 0.000
Ac 0.374 0.626 0.345
Ac 0.392 0.608 0.726
Ac 0.608 0.392 0.226
Ac 0.626 0.374 0.845
Np 0.301 0.699 0.049
Np 0.699 0.301 0.549
Te 0.001 0.999 0.820
Te 0.138 0.862 0.040
Te 0.190 0.810 0.390
Te 0.213 0.787 0.705
Te 0.452 0.548 0.104
Te 0.548 0.452 0.604
Te 0.787 0.213 0.205
Te 0.810 0.190 0.890
Te 0.862 0.138 0.540
Te 0.999 0.001 0.320

Values from the calculation:
V	600.8	Å³ per cell
symmetry	Cmc2_1, No. 36
theoretical density	7.38	Mg/m³
E	-5.53	eV/atom
ΔE_f (raw)	-1222	meV per atom
N(E_F)	16.84	states/eV per cell

***

6.
## Dy3ScGa8 (PBE)

Data for crystalline Dy3ScGa8 at its relaxed geometry.

Lattice parameters (Å, degrees): 9.538 9.538 9.538 33.12 33.12 33.12
Atoms (fractional coordinates):
Dy 0.000 0.000 0.000
Dy 0.125 0.125 0.125
Dy 0.502 0.502 0.502
Sc 0.624 0.624 0.624
Ga 0.061 0.562 0.562
Ga 0.064 0.064 0.564
Ga 0.064 0.564 0.064
Ga 0.313 0.313 0.313
Ga 0.562 0.061 0.562
Ga 0.562 0.562 0.061
Ga 0.564 0.064 0.064
Ga 0.813 0.813 0.813

Values from the calculation:
V	230.6	Å³ per cell
energy relative to the elements	-0.54	eV/atom
symmetry	R3m, No. 160
theoretical density	7.85	Mg/m³
E	-4.24	eV/atom
N(E_F)	6.54	states/eV per cell

***

7.
## LiCu2SbSe4 (PBE)

Data for crystalline LiCu2SbSe4 at its relaxed geometry.

Lattice parameters (Å, degrees): 7.028 7.028 7.028 130.90 130.90 71.97
Atoms (fractional coordinates):
Li 0.000 0.000 0.000
Cu 0.250 0.750 0.500
Cu 0.750 0.250 0.500
Sb 0.500 0.500 0.000
Se 0.112 0.112 0.499
Se 0.387 0.888 0.000
Se 0.613 0.613 0.501
Se 0.888 0.387 0.000

Values from the calculation:
V	193.9	Å³ per cell
symmetry	I-42m, No. 121
theoretical density	4.89	Mg/m³
E	-3.90	eV/atom
ΔE_f (raw)	-379	meV per atom
N(E_F)	0.72	states/eV per cell

***

8.
## LaP2Br (PBE)

Data for crystalline LaP2Br at its relaxed geometry.

Lattice parameters (Å, degrees): 5.069 5.069 5.069 60.00 60.00 60.00
Atoms (fractional coordinates):
La 0.000 0.000 0.000
P 0.250 0.250 0.250
P 0.750 0.750 0.750
Br 0.500 0.500 0.500

Values from the calculation:
V	92.1	Å³ per cell
symmetry	Fm-3m, No. 225
distance to the lowest polymorph of the same formula	944	meV/atom
theoretical density	5.06	Mg/m³
E	-4.38	eV/atom
ΔE_f (raw)	-30	meV per atom
N(E_F)	4.21	states/eV per cell

***

9.
## NaSnBi (PBE)

Data for crystalline NaSnBi at its relaxed geometry.

Lattice parameters (Å, degrees): 8.154 8.154 8.154 39.67 39.67 39.67
Atoms (fractional coordinates):
Na 0.127 0.127 0.127
Na 0.873 0.873 0.873
Sn 0.279 0.279 0.279
Sn 0.721 0.721 0.721
Bi 0.418 0.418 0.418
Bi 0.582 0.582 0.582

Values from the calculation:
V	199.0	Å³ per cell
energy relative to the elements	-0.11	eV/atom
symmetry	R-3m, No. 166
theoretical density	5.85	Mg/m³
E	-3.18	eV/atom
N(E_F)	1.83	states/eV per cell

***

10.
## RbNb2CoH (PBE)

Data for crystalline RbNb2CoH at its relaxed geometry.

Lattice parameters (Å, degrees): 4.029 4.029 5.370 90.00 90.00 90.00
Atoms (fractional coordinates):
Rb 0.000 0.000 0.000
Nb 0.000 0.500 0.500
Nb 0.500 0.000 0.500
Co 0.500 0.500 0.000
H 0.000 0.000 0.500

Values from the calculation:
V	87.2	Å³ per cell
symmetry	P4/mmm, No. 123
theoretical density	6.31	Mg/m³
E	-5.16	eV/atom
N(E_F)	6.29	states/eV per cell

***

11.
## LaNdCuIr (PBE)

Data for crystalline LaNdCuIr at its relaxed geometry.

Lattice parameters (Å, degrees): 5.080 5.080 5.080 60.00 60.00 60.00
Atoms (fractional coordinates):
La 0.000 0.000 0.000
Nd 0.500 0.500 0.500
Cu 0.250 0.250 0.250
Ir 0.750 0.750 0.750

Values from the calculation:
V	92.7	Å³ per cell
energy relative to the elements	-0.42	eV/atom
symmetry	F-43m, No. 216
distance to the lowest polymorph of the same formula	60	meV/atom
theoretical density	9.65	Mg/m³
E	-6.08	eV/atom
N(E_F)	3.72	states/eV per cell

***

12.
## Cs4ZrO4 (PBE)

Data for crystalline Cs4ZrO4 at its relaxed geometry.

Lattice parameters (Å, degrees): 7.286 20.269 7.299 90.00 113.04 90.00
Atoms (fractional coordinates):
Cs 0.161 0.082 0.224
Cs 0.161 0.418 0.724
Cs 0.194 0.214 0.678
Cs 0.194 0.286 0.178
Cs 0.279 0.013 0.747
Cs 0.279 0.487 0.247
Cs 0.316 0.691 0.309
Cs 0.316 0.809 0.809
Cs 0.684 0.191 0.191
Cs 0.684 0.309 0.691
Cs 0.721 0.513 0.753
Cs 0.721 0.987 0.253
Cs 0.806 0.714 0.822
Cs 0.806 0.786 0.322
Cs 0.839 0.582 0.276
Cs 0.839 0.918 0.776
Zr 0.246 0.622 0.793
Zr 0.246 0.878 0.293
Zr 0.754 0.122 0.707
Zr 0.754 0.378 0.207
O 0.075 0.689 0.599
O 0.075 0.811 0.099
O 0.093 0.595 0.959
O 0.093 0.905 0.459
O 0.292 0.547 0.636
O 0.292 0.953 0.136
O 0.499 0.666 0.973
O 0.499 0.834 0.473
O 0.501 0.166 0.527
O 0.501 0.334 0.027
O 0.708 0.047 0.864
O 0.708 0.453 0.364
O 0.907 0.095 0.541
O 0.907 0.405 0.041
O 0.925 0.189 0.901
O 0.925 0.311 0.401

Values from the calculation:
V	991.9	Å³ per cell
symmetry	P2_1/c, No. 14
distance to the lowest polymorph of the same formula	0	meV/atom
theoretical density	4.60	Mg/m³
E	-5.52	eV/atom
ΔE_f (raw)	-1987	meV per atom
N(E_F)	0.00	states/eV per cell

***

13.
## ScIr2Os (PBE)

Data for crystalline ScIr2Os at its relaxed geometry.

Lattice parameters (Å, degrees): 2.820 4.513 4.821 90.00 90.00 90.00
Atoms (fractional coordinates):
Sc 0.000 0.000 0.000
Ir 0.500 0.000 0.504
Ir 0.500 0.500 0.872
Os 0.000 0.500 0.377

Values from the calculation:
V	61.4	Å³ per cell
energy relative to the elements	-0.36	eV/atom
symmetry	Pmm2, No. 25
distance to the lowest polymorph of the same formula	27	meV/atom
theoretical density	16.77	Mg/m³
E	-9.19	eV/atom
N(E_F)	3.55	states/eV per cell

***

14.
## BaY2Au (PBE)

Data for crystalline BaY2Au at its relaxed geometry.

Lattice parameters (Å, degrees): 3.698 3.698 9.812 90.00 90.00 90.00
Atoms (fractional coordinates):
Ba 0.000 0.000 0.000
Y 0.500 0.500 0.329
Y 0.500 0.500 0.671
Au 0.000 0.000 0.500

Values from the calculation:
V	134.1	Å³ per cell
energy relative to the elements	-0.28	eV/atom
symmetry	P4/mmm, No. 123
distance to the lowest polymorph of the same formula	18	meV/atom
theoretical density	6.34	Mg/m³
E	-4.82	eV/atom
N(E_F)	5.56	states/eV per cell

***

15.
## YTlSb2 (PBE)

Data for crystalline YTlSb2 at its relaxed geometry.

Lattice parameters (Å, degrees): 7.322 7.322 7.322 37.61 37.61 37.61
Atoms (fractional coordinates):
Y 0.000 0.000 0.000
Tl 0.830 0.830 0.830
Sb 0.410 0.410 0.410
Sb 0.595 0.595 0.595

Values from the calculation:
V	131.1	Å³ per cell
symmetry	R3m, No. 160
distance to the lowest polymorph of the same formula	173	meV/atom
theoretical density	6.80	Mg/m³
E	-4.59	eV/atom
ΔE_f (raw)	-322	meV per atom
N(E_F)	2.80	states/eV per cell

***

16.
## KMg2Te (PBE)

Data for crystalline KMg2Te at its relaxed geometry.

Lattice parameters (Å, degrees): 4.369 4.341 7.573 90.00 105.29 90.00
Atoms (fractional coordinates):
K 0.000 0.000 0.000
Mg 0.263 0.500 0.565
Mg 0.733 0.000 0.502
Te 0.610 0.500 0.242

Values from the calculation:
V	138.5	Å³ per cell
symmetry	Pm, No. 6
theoretical density	2.58	Mg/m³
E	-2.20	eV/atom
ΔE_f (raw)	-341	meV per atom
N(E_F)	1.92	states/eV per cell

***

17.
## IrCl (PBE)

Data for crystalline IrCl at its relaxed geometry.

Lattice parameters (Å, degrees): 9.489 9.489 2.916 90.00 90.00 120.00
Atoms (fractional coordinates):
Ir 0.136 0.568 0.250
Ir 0.432 0.568 0.250
Ir 0.432 0.864 0.250
Ir 0.568 0.136 0.750
Ir 0.568 0.432 0.750
Ir 0.864 0.432 0.750
Cl 0.172 0.344 0.250
Cl 0.172 0.828 0.250
Cl 0.344 0.172 0.750
Cl 0.656 0.828 0.250
Cl 0.828 0.172 0.750
Cl 0.828 0.656 0.750

Values from the calculation:
V	227.4	Å³ per cell
symmetry	P6_3/mmc, No. 194
distance to the lowest polymorph of the same formula	25	meV/atom
theoretical density	9.98	Mg/m³
E	-5.19	eV/atom
ΔE_f (raw)	159	meV per atom
N(E_F)	10.59	states/eV per cell

***

18.
## CsLi2BrO (PBE)

Data for crystalline CsLi2BrO at its relaxed geometry.

Lattice parameters (Å, degrees): 4.724 4.724 6.893 90.00 90.00 90.00
Atoms (fractional coordinates):
Cs 0.000 0.000 0.000
Li 0.000 0.500 0.500
Li 0.500 0.000 0.500
Br 0.000 0.000 0.500
O 0.500 0.500 0.000

Values from the calculation:
V	153.8	Å³ per cell
symmetry	P4/mmm, No. 123
theoretical density	2.62	Mg/m³
E	-2.81	eV/atom
ΔE_f (raw)	-544	meV per atom
N(E_F)	3.49	states/eV per cell

***

19.
## BaPtSe (PBE)

Data for crystalline BaPtSe at its relaxed geometry.

Lattice parameters (Å, degrees): 11.289 4.265 4.265 61.93 90.00 90.00
Atoms (fractional coordinates):
Ba 0.179 0.000 0.000
Ba 0.821 0.000 0.000
Pt 0.000 0.346 0.346
Pt 0.500 0.084 0.084
Se 0.368 0.347 0.347
Se 0.632 0.347 0.347

Values from the calculation:
V	181.2	Å³ per cell
symmetry	Amm2, No. 38
theoretical density	7.54	Mg/m³
E	-4.34	eV/atom
ΔE_f (raw)	-529	meV per atom
N(E_F)	1.68	states/eV per cell

***

20.
## PuTh2Te (PBE)

Data for crystalline PuTh2Te at its relaxed geometry.

Lattice parameters (Å, degrees): 10.421 10.421 10.421 21.00 21.00 21.00
Atoms (fractional coordinates):
Pu 0.000 0.000 0.000
Th 0.244 0.244 0.244
Th 0.756 0.756 0.756
Te 0.500 0.500 0.500

Values from the calculation:
V	127.2	Å³ per cell
symmetry	R-3m, No. 166
distance to the lowest polymorph of the same formula	124	meV/atom
theoretical density	10.91	Mg/m³
E	-8.33	eV/atom
ΔE_f (raw)	-247	meV per atom
N(E_F)	7.94	states/eV per cell